Below is crystalline Nd5Pu2O12 at its relaxed geometry, with properties calculated at the GGA-PBE level.

abc: 13.0067 6.3975 7.7415
angles: 90.00 107.41 90.00
Closest atoms and distances in Å follow each position.
Space group C2/m (No. 12)
Inequivalent atoms, fractional coordinates:
Nd 0.0000 0.0000 0.0000 (multiplicity 2)  6 O 2.37-2.51
Nd 0.1946 0.5000 0.3246 (multiplicity 4)  7 O 2.42-2.61
Nd 0.2018 0.5000 0.8656 (multiplicity 4)  7 O 2.39-2.59
Pu 0.0000 0.2458 0.5000 (multiplicity 4)  6 O 2.10-2.21
O 0.0002 0.0000 0.3060 (multiplicity 4)  2 Pu 2.17, 1 Nd 2.37
O 0.0019 0.5000 0.3076 (multiplicity 4)  2 Pu 2.21, 1 Nd 2.47
O 0.1552 0.2503 0.0744 (multiplicity 8)  4 Nd 2.39-2.51
O 0.1687 0.2689 0.5870 (multiplicity 8)  1 Pu 2.10

Its density of states at the Fermi level is 21.33 states/eV per cell. The value obtained for the mass density is 7.571 g/cm³. The calculation puts the formation energy without anion corrections at -3.200 eV/atom. The calculation puts the raw total energy at -9.094 eV/atom.